{"formula": "PaInNi2O6", "functional": "PBE with a Hubbard U", "state": "optimized geometry", "lattice_angstrom": [[-3.084, -4.451, 0.060], [1.991, -4.649, 1.935], [-1.962, -1.867, 5.111]], "species": ["In", "Ni", "O", "O", "O", "Ni", "O", "Pa", "O", "O"], "fractional_positions": [[0.811, 0.811, 0.566], [0.017, 0.017, 0.950], [0.897, 0.626, 0.248], [0.725, 0.123, 0.750], [0.123, 0.401, 0.750], [0.519, 0.519, 0.444], [0.401, 0.725, 0.750], [0.313, 0.313, 0.061], [0.626, 0.230, 0.248], [0.229, 0.897, 0.248]], "energy_ev_per_atom": -6.747, "spacegroup": "R3 (146)", "crystal_system": "trigonal"}